This record from the Alexandria database describes PmNd3Tm3 after structural relaxation. The functional is PBE.

Cell lengths 9.356, 9.356, 8.234 Å; angles 55.38, 55.38, 60.00 degrees
Element x y z (fractional)
1 Tm 0.446 0.309 0.221
2 Tm 0.024 0.446 0.221
3 Tm 0.554 0.691 0.779
4 Tm 0.691 0.976 0.779
5 Tm 0.976 0.554 0.779
6 Tm 0.309 0.024 0.221
7 Nd 0.835 0.269 0.769
8 Nd 0.731 0.873 0.231
9 Nd 0.269 0.127 0.769
10 Nd 0.127 0.835 0.769
11 Nd 0.165 0.731 0.231
12 Nd 0.873 0.165 0.231
13 Pm 0.409 0.409 0.774
14 Pm 0.591 0.591 0.226

Values from the calculation:
Space group: R-3 (148)
ΔE to the lowest computed polymorph: 0 meV/atom
Magnetic moment: 0.0 μB per formula unit
Total energy: -4.51 eV/atom
Formation energy from the elements: 0.133 eV per atom

***

This record from the Alexandria database describes PmNd6Tm5 after structural relaxation. The functional is PBE.

Cell lengths 5.120, 10.064, 9.518 Å; angles 121.93, 105.61, 89.98 degrees
Element x y z (fractional)
1 Nd 0.167 0.418 0.333
2 Nd 0.833 0.582 0.667
3 Nd 0.833 0.085 0.666
4 Nd 0.167 0.915 0.334
5 Nd 0.500 0.748 0.000
6 Nd 0.500 0.252 0.000
7 Tm 0.333 0.333 0.666
8 Tm 0.332 0.833 0.665
9 Tm 0.000 0.500 0.000
10 Tm 0.667 0.667 0.334
11 Tm 0.668 0.167 0.335
12 Pm 0.000 0.000 0.000

Values from the calculation:
Space group: Immm (71)
Magnetic moment: 0.0 μB per formula unit
Total energy: -4.62 eV/atom
Formation energy from the elements: 0.018 eV per atom

***

This record from the Alexandria database describes Pm2Nd3Tm4 after structural relaxation. The functional is PBE.

Cell lengths 6.147, 11.247, 11.247 Å; angles 62.90, 63.12, 63.12 degrees
Element x y z (fractional)
1 Tm 0.399 0.616 0.847
2 Tm 0.601 0.384 0.153
3 Tm 0.899 0.847 0.616
4 Tm 0.076 0.828 0.056
5 Tm 0.101 0.153 0.384
6 Tm 0.924 0.172 0.944
7 Tm 0.424 0.944 0.172
8 Tm 0.576 0.056 0.828
9 Nd 0.733 0.693 0.982
10 Nd 0.750 0.367 0.633
11 Nd 0.233 0.982 0.693
12 Nd 0.767 0.018 0.307
13 Nd 0.250 0.633 0.367
14 Nd 0.267 0.307 0.018
15 Pm 0.438 0.260 0.516
16 Pm 0.562 0.740 0.484
17 Pm 0.062 0.484 0.740
18 Pm 0.938 0.516 0.260

Values from the calculation:
Space group: C2/c (15)
ΔE to the lowest computed polymorph: 76 meV/atom
Magnetic moment: 0.0 μB per formula unit
Total energy: -4.54 eV/atom
Formation energy from the elements: 0.097 eV per atom

***

This record from the Alexandria database describes PmNd2Tm after structural relaxation. The functional is PBE.

Cell lengths 4.223, 4.223, 7.587 Å; angles 90.00, 90.00, 90.00 degrees
Element x y z (fractional)
1 Pm 0.500 0.500 0.500
2 Nd 0.000 0.000 0.761
3 Nd 0.000 0.000 0.239
4 Tm 0.500 0.500 0.000

Values from the calculation:
Space group: P4/mmm (123)
ΔE to the lowest computed polymorph: 89 meV/atom
Magnetic moment: 0.0 μB per formula unit
Total energy: -4.58 eV/atom
Formation energy from the elements: 0.105 eV per atom

***

This record from the Alexandria database describes Pm6Nd12Tm after structural relaxation. The functional is PBE.

Cell lengths 8.884, 8.884, 8.884 Å; angles 97.64, 97.64, 97.64 degrees
Element x y z (fractional)
1 Pm 0.862 0.862 0.594
2 Pm 0.406 0.138 0.138
3 Pm 0.138 0.138 0.406
4 Pm 0.862 0.594 0.862
5 Pm 0.594 0.862 0.862
6 Pm 0.138 0.406 0.138
7 Nd 0.263 0.737 0.000
8 Nd 0.830 0.417 0.417
9 Nd 0.170 0.583 0.583
10 Nd 0.737 0.000 0.263
11 Nd 0.000 0.263 0.737
12 Nd 0.263 0.000 0.737
13 Nd 0.000 0.737 0.263
14 Nd 0.417 0.417 0.830
15 Nd 0.583 0.583 0.170
16 Nd 0.583 0.170 0.583
17 Nd 0.737 0.263 0.000
18 Nd 0.417 0.830 0.417
19 Tm 0.000 0.000 0.000

Values from the calculation:
Space group: R-3m (166)
ΔE to the lowest computed polymorph: 0 meV/atom
Magnetic moment: 0.0 μB per formula unit
Total energy: -4.63 eV/atom
Formation energy from the elements: 0.119 eV per atom

***

This record from the Alexandria database describes Pm2Nd5Tm4 after structural relaxation. The functional is PBE.

Cell lengths 3.584, 12.185, 9.197 Å; angles 107.00, 101.24, 90.00 degrees
Element x y z (fractional)
1 Nd 0.834 0.988 0.668
2 Nd 0.500 0.000 0.000
3 Nd 0.887 0.483 0.774
4 Nd 0.166 0.012 0.332
5 Nd 0.113 0.517 0.226
6 Pm 0.677 0.291 0.353
7 Pm 0.323 0.709 0.647
8 Tm 0.670 0.768 0.339
9 Tm 0.330 0.232 0.661
10 Tm 0.005 0.752 0.009
11 Tm 0.995 0.248 0.991

Values from the calculation:
Space group: C2/m (12)
ΔE to the lowest computed polymorph: 0 meV/atom
Magnetic moment: 0.0 μB per formula unit
Total energy: -4.51 eV/atom
Formation energy from the elements: 0.142 eV per atom

***

This record from the Alexandria database describes PmNd5Tm4 after structural relaxation. The functional is PBE.

Cell lengths 3.608, 10.179, 9.499 Å; angles 106.12, 100.92, 89.98 degrees
Element x y z (fractional)
1 Tm 0.102 0.297 0.203
2 Tm 0.300 0.900 0.601
3 Tm 0.898 0.703 0.797
4 Tm 0.700 0.100 0.399
5 Nd 0.299 0.399 0.599
6 Nd 0.500 0.500 0.000
7 Nd 0.899 0.196 0.798
8 Nd 0.701 0.601 0.401
9 Nd 0.101 0.804 0.202
10 Pm 0.500 0.000 0.000

Values from the calculation:
Space group: C2/m (12)
ΔE to the lowest computed polymorph: 0 meV/atom
Magnetic moment: 0.0 μB per formula unit
Total energy: -4.63 eV/atom
Formation energy from the elements: 0.018 eV per atom

***

This record from the Alexandria database describes Pm3Nd7Tm after structural relaxation. The functional is PBE.

Cell lengths 5.980, 8.621, 8.621 Å; angles 82.86, 110.25, 110.25 degrees
Element x y z (fractional)
1 Pm 0.000 0.208 0.792
2 Pm 0.500 0.000 0.000
3 Pm 0.000 0.792 0.208
4 Nd 0.305 0.013 0.598
5 Nd 0.695 0.402 0.987
6 Nd 0.211 0.210 0.210
7 Nd 0.789 0.790 0.790
8 Nd 0.695 0.987 0.402
9 Nd 0.000 0.500 0.500
10 Nd 0.305 0.598 0.013
11 Tm 0.500 0.500 0.500

Values from the calculation:
Space group: C2/m (12)
ΔE to the lowest computed polymorph: 109 meV/atom
Magnetic moment: 0.0 μB per formula unit
Total energy: -4.51 eV/atom
Formation energy from the elements: 0.231 eV per atom

***

This record from the Alexandria database describes PmNdTm2 after structural relaxation. The functional is PBE.

Cell lengths 4.977, 5.095, 5.095 Å; angles 90.00, 90.00, 90.00 degrees
Element x y z (fractional)
1 Tm 0.000 0.000 0.500
2 Tm 0.000 0.500 0.000
3 Nd 0.500 0.000 0.000
4 Pm 0.500 0.500 0.500

Values from the calculation:
Space group: P4/mmm (123)
ΔE to the lowest computed polymorph: 6 meV/atom
Magnetic moment: 0.0 μB per formula unit
Total energy: -4.59 eV/atom
Formation energy from the elements: 0.023 eV per atom

***

This record from the Alexandria database describes Pm5NdTm4 after structural relaxation. The functional is PBE.

Cell lengths 3.547, 11.445, 8.740 Å; angles 71.40, 101.69, 90.01 degrees
Element x y z (fractional)
1 Tm 0.918 0.292 0.836
2 Tm 0.605 0.204 0.209
3 Tm 0.395 0.796 0.791
4 Tm 0.082 0.708 0.164
5 Pm 0.789 0.616 0.577
6 Pm 0.500 0.500 0.000
7 Pm 0.189 0.922 0.379
8 Pm 0.211 0.384 0.423
9 Pm 0.811 0.078 0.621
10 Nd 0.500 0.000 0.000

Values from the calculation:
Space group: C2/m (12)
ΔE to the lowest computed polymorph: 0 meV/atom
Magnetic moment: 0.0 μB per formula unit
Total energy: -4.60 eV/atom
Formation energy from the elements: 0.038 eV per atom

***

This record from the Alexandria database describes Pm3Nd9Tm2 after structural relaxation. The functional is PBE.

Cell lengths 6.312, 17.112, 15.492 Å; angles 25.21, 47.13, 42.37 degrees
Element x y z (fractional)
1 Nd 0.860 0.786 0.642
2 Nd 0.291 0.426 0.715
3 Nd 0.424 0.143 0.574
4 Nd 0.140 0.214 0.358
5 Nd 0.576 0.857 0.426
6 Nd 0.000 0.500 0.500
7 Nd 0.423 0.645 0.070
8 Nd 0.577 0.355 0.930
9 Nd 0.709 0.574 0.285
10 Tm 0.289 0.929 0.212
11 Tm 0.711 0.071 0.788
12 Pm 0.000 0.000 0.000
13 Pm 0.860 0.284 0.143
14 Pm 0.140 0.716 0.857

Values from the calculation:
Space group: P-1 (2)
Magnetic moment: 0.0 μB per formula unit
Total energy: -4.71 eV/atom
Formation energy from the elements: 0.014 eV per atom

***

This record from the Alexandria database describes Pm8NdTm3 after structural relaxation. The functional is PBE.

Cell lengths 3.645, 8.997, 12.589 Å; angles 103.56, 90.01, 90.00 degrees
Element x y z (fractional)
1 Pm 0.250 0.329 0.014
2 Pm 0.750 0.329 0.764
3 Pm 0.250 0.660 0.235
4 Pm 0.750 0.997 0.371
5 Pm 0.250 0.997 0.627
6 Pm 0.250 0.327 0.510
7 Pm 0.750 0.663 0.483
8 Pm 0.750 0.670 0.989
9 Nd 0.250 0.668 0.738
10 Tm 0.750 0.326 0.262
11 Tm 0.750 0.999 0.879
12 Tm 0.250 0.004 0.124

Values from the calculation:
Space group: Pm (6)
Magnetic moment: 0.0 μB per formula unit
Total energy: -4.67 eV/atom
Formation energy from the elements: 0.015 eV per atom

***

This record from the Alexandria database describes PmNdTm2 after structural relaxation. The functional is PBE.

Cell lengths 3.583, 3.583, 11.744 Å; angles 81.23, 81.23, 60.00 degrees
Element x y z (fractional)
1 Nd 0.500 0.500 0.500
2 Tm 0.750 0.750 0.751
3 Tm 0.250 0.250 0.249
4 Pm 0.000 0.000 0.000

Values from the calculation:
Space group: R-3m (166)
ΔE to the lowest computed polymorph: 0 meV/atom
Magnetic moment: 0.0 μB per formula unit
Total energy: -4.60 eV/atom
Formation energy from the elements: 0.017 eV per atom

***

This record from the Alexandria database describes Pm6NdTm3 after structural relaxation. The functional is PBE.

Cell lengths 6.304, 11.077, 11.077 Å; angles 120.49, 90.00, 90.00 degrees
Element x y z (fractional)
1 Pm 0.382 0.962 0.038
2 Pm 0.647 0.281 0.719
3 Pm 0.369 0.056 0.474
4 Pm 0.882 0.038 0.962
5 Pm 0.369 0.526 0.944
6 Pm 0.547 0.627 0.709
7 Pm 0.547 0.291 0.373
8 Pm 0.047 0.709 0.627
9 Pm 0.047 0.373 0.291
10 Pm 0.869 0.474 0.056
11 Pm 0.869 0.944 0.526
12 Pm 0.147 0.719 0.281
13 Nd 0.613 0.804 0.196
14 Nd 0.113 0.196 0.804
15 Tm 0.586 0.615 0.385
16 Tm 0.463 0.942 0.713
17 Tm 0.963 0.713 0.942
18 Tm 0.086 0.385 0.615
19 Tm 0.963 0.058 0.287
20 Tm 0.463 0.287 0.058

Values from the calculation:
Space group: Cmc2_1 (36)
ΔE to the lowest computed polymorph: 19 meV/atom
Magnetic moment: 0.0 μB per formula unit
Total energy: -4.52 eV/atom
Formation energy from the elements: 0.147 eV per atom

***

This record from the Alexandria database describes PmNdTm after structural relaxation. The functional is PBE.

Cell lengths 3.508, 5.711, 5.711 Å; angles 120.00, 90.00, 90.00 degrees
Element x y z (fractional)
1 Pm 0.167 0.000 0.000
2 Nd 0.667 0.667 0.333
3 Tm 0.166 0.333 0.667

Values from the calculation:
Space group: P3m1 (156)
ΔE to the lowest computed polymorph: 73 meV/atom
Magnetic moment: 0.0 μB per formula unit
Total energy: -4.60 eV/atom
Formation energy from the elements: 0.068 eV per atom

***

This record from the Alexandria database describes Pm2NdTm4 after structural relaxation. The functional is PBE.

Cell lengths 6.804, 6.804, 6.804 Å; angles 122.87, 103.21, 103.21 degrees
Element x y z (fractional)
1 Tm 0.607 0.304 0.304
2 Tm 0.000 0.696 0.304
3 Tm 0.393 0.696 0.696
4 Tm 0.000 0.304 0.696
5 Nd 0.000 0.000 0.000
6 Pm 0.500 0.250 0.750
7 Pm 0.500 0.750 0.250

Values from the calculation:
Space group: I4/mmm (139)
ΔE to the lowest computed polymorph: 157 meV/atom
Magnetic moment: 0.0 μB per formula unit
Total energy: -4.36 eV/atom
Formation energy from the elements: 0.234 eV per atom

***

This record from the Alexandria database describes Pm2Nd4Tm5 after structural relaxation. The functional is PBE.

Cell lengths 5.816, 6.397, 10.177 Å; angles 93.98, 106.60, 90.00 degrees
Element x y z (fractional)
1 Nd 0.034 0.265 0.068
2 Nd 0.966 0.735 0.932
3 Nd 0.694 0.074 0.388
4 Nd 0.306 0.926 0.612
5 Tm 0.132 0.856 0.263
6 Tm 0.786 0.606 0.572
7 Tm 0.500 0.000 0.000
8 Tm 0.868 0.144 0.737
9 Tm 0.214 0.394 0.428
10 Pm 0.401 0.454 0.802
11 Pm 0.599 0.546 0.198

Values from the calculation:
Space group: C2/m (12)
ΔE to the lowest computed polymorph: 0 meV/atom
Magnetic moment: 0.0 μB per formula unit
Total energy: -4.53 eV/atom
Formation energy from the elements: 0.100 eV per atom

***

This record from the Alexandria database describes Pm2Nd3Tm2 after structural relaxation. The functional is PBE.

Cell lengths 3.625, 11.972, 6.253 Å; angles 69.81, 73.14, 98.71 degrees
Element x y z (fractional)
1 Tm 0.716 0.286 0.856
2 Tm 0.284 0.714 0.144
3 Nd 0.429 0.570 0.714
4 Nd 0.000 0.000 0.000
5 Nd 0.571 0.430 0.286
6 Pm 0.859 0.144 0.425
7 Pm 0.141 0.856 0.575

Values from the calculation:
Space group: P-1 (2)
ΔE to the lowest computed polymorph: 0 meV/atom
Magnetic moment: 0.0 μB per formula unit
Total energy: -4.66 eV/atom
Formation energy from the elements: 0.017 eV per atom

***

This record from the Alexandria database describes Pm2NdTm9 after structural relaxation. The functional is PBE.

Cell lengths 5.797, 5.797, 11.206 Å; angles 90.00, 90.00, 90.00 degrees
Element x y z (fractional)
1 Tm 0.000 0.500 0.167
2 Tm 0.500 0.500 0.333
3 Tm 0.500 0.500 0.667
4 Tm 0.500 0.500 0.000
5 Tm 0.000 0.500 0.833
6 Tm 0.500 0.000 0.167
7 Tm 0.000 0.500 0.500
8 Tm 0.500 0.000 0.833
9 Tm 0.500 0.000 0.500
10 Pm 0.000 0.000 0.334
11 Pm 0.000 0.000 0.666
12 Nd 0.000 0.000 0.000

Values from the calculation:
Space group: P4/mmm (123)
ΔE to the lowest computed polymorph: 64 meV/atom
Magnetic moment: 0.0 μB per formula unit
Total energy: -4.42 eV/atom
Formation energy from the elements: 0.124 eV per atom

***

This record from the Alexandria database describes Pm7Nd2Tm3 after structural relaxation. The functional is PBE.

Cell lengths 3.564, 6.447, 18.124 Å; angles 75.19, 90.00, 90.00 degrees
Element x y z (fractional)
1 Pm 0.500 0.238 0.504
2 Pm 0.000 0.558 0.164
3 Pm 0.000 0.442 0.836
4 Pm 0.000 0.000 0.000
5 Pm 0.500 0.762 0.496
6 Pm 0.500 0.942 0.830
7 Pm 0.500 0.058 0.170
8 Nd 0.500 0.612 0.329
9 Nd 0.500 0.388 0.671
10 Tm 0.000 0.114 0.342
11 Tm 0.000 0.886 0.658
12 Tm 0.500 0.500 0.000

Values from the calculation:
Space group: P2/m (10)
ΔE to the lowest computed polymorph: 0 meV/atom
Magnetic moment: 0.0 μB per formula unit
Total energy: -4.62 eV/atom
Formation energy from the elements: 0.066 eV per atom

***

This record from the Alexandria database describes PmNd7Tm12 after structural relaxation. The functional is PBE.

Cell lengths 8.753, 8.753, 8.753 Å; angles 85.95, 85.95, 85.95 degrees
Element x y z (fractional)
1 Tm 0.260 0.726 0.854
2 Tm 0.274 0.146 0.740
3 Tm 0.726 0.854 0.260
4 Tm 0.379 0.866 0.503
5 Tm 0.621 0.134 0.497
6 Tm 0.134 0.497 0.621
7 Tm 0.740 0.274 0.146
8 Tm 0.497 0.621 0.134
9 Tm 0.866 0.503 0.379
10 Tm 0.146 0.740 0.274
11 Tm 0.854 0.260 0.726
12 Tm 0.503 0.379 0.866
13 Nd 0.500 0.500 0.500
14 Nd 0.072 0.158 0.398
15 Nd 0.398 0.072 0.158
16 Nd 0.158 0.398 0.072
17 Nd 0.928 0.842 0.602
18 Nd 0.842 0.602 0.928
19 Nd 0.602 0.928 0.842
20 Pm 0.000 0.000 0.000

Values from the calculation:
Space group: R-3 (148)
ΔE to the lowest computed polymorph: 0 meV/atom
Magnetic moment: 0.0 μB per formula unit
Total energy: -4.36 eV/atom
Formation energy from the elements: 0.230 eV per atom